Run i
Below is crystalline Rb2U2O7 at its relaxed geometry, with properties calculated at the PBE-GGA level.

Structure (POSCAR):
```
Rb2U2O7
1.0
4.278 0.000 0.613
1.636 6.478 3.585
-0.054 0.091 7.879
O Rb U
7 2 2
Cartesian
4.282 2.795 7.765
3.862 0.990 3.200
3.975 3.991 2.634
1.998 5.579 8.877
1.938 2.487 1.564
1.577 3.774 4.312
0.000 0.000 0.000
3.415 5.181 6.400
2.444 1.388 5.678
4.116 1.920 1.583
1.797 4.558 2.615
```

Space-group type: No. 12
Crystal system: monoclinic

***

Run ii
Below is crystalline Rb2U2O7 at its relaxed geometry, with properties calculated at the PBE-GGA level.

Structure (POSCAR):
```
Rb2U2O7
1.0
-6.972 -0.042 -0.054
1.194 7.447 0.047
-0.098 -2.207 -7.810
Rb U O
4 4 14
Cartesian
-1.254 3.412 -0.940
-1.156 2.244 -4.884
-4.622 1.786 -6.877
-4.721 2.953 -2.933
0.952 6.887 -1.809
-3.535 -1.125 -3.932
-3.486 -0.021 -0.027
-6.828 -1.689 -6.008
-1.411 6.791 -1.909
0.149 0.158 -6.461
-5.663 3.966 -5.411
-1.389 -2.052 -7.538
-4.484 6.375 -3.341
-3.579 0.724 -4.370
-4.465 -1.594 -5.907
-2.297 4.474 -3.447
-2.331 3.417 -7.195
-4.487 7.249 -0.279
-6.026 5.040 -1.355
-1.392 -1.177 -4.475
-0.213 1.232 -2.406
-3.545 1.781 -0.622
```

Space-group type: No. 2
Crystal system: triclinic

***

Run iii
Below is crystalline Rb2U2O7 at its relaxed geometry, with properties calculated at the PBE-GGA level.

Structure (POSCAR):
```
Rb2U2O7
1.0
-2.435 3.549 6.881
-0.366 -6.273 3.106
6.670 -1.475 3.121
O U Rb
14 4 4
Cartesian
3.636 -5.153 7.570
6.048 -4.772 5.935
1.343 -1.104 2.305
0.233 0.954 5.539
2.526 -3.095 10.804
-2.179 0.573 7.174
0.583 -3.401 5.487
5.692 -0.849 5.906
3.286 -0.798 7.622
-0.577 -1.269 8.863
4.446 -2.930 4.246
0.000 0.000 0.000
-1.401 -1.362 4.994
-1.823 -3.350 7.203
5.429 -4.987 8.136
-1.561 0.788 4.973
6.248 -2.776 4.788
-2.379 -1.423 8.321
1.161 0.916 8.344
2.267 -1.070 4.973
2.708 -5.115 4.765
1.602 -3.129 8.136
```

Space-group type: No. 14
Crystal system: monoclinic

***

Run iv
Below is crystalline Rb2U2O7 at its relaxed geometry, with properties calculated at the PBE-GGA level.

Structure (POSCAR):
```
Rb2U2O7
1.0
-3.883 1.221 -0.271
-0.390 -2.680 -6.474
-2.276 -7.116 0.558
O U Rb
7 2 2
Cartesian
-4.499 -8.547 -4.748
-0.949 -4.317 -5.843
-1.712 -5.499 -0.243
-2.010 0.169 -1.145
-3.812 -6.081 -3.475
-2.394 -8.042 -1.927
-2.689 -2.315 -2.610
-4.387 -7.742 -2.727
-2.278 -7.156 0.401
-1.308 -4.825 -2.991
-3.488 -5.678 -6.301
```

Space-group type: No. 6
Crystal system: monoclinic

***

Stability, lowest: run iv